A plane-wave DFT calculation with PBE was carried out for an optimized crystal structure of KSnAu3.

The formation energy is 0.97 eV/atom. The calculation puts the total energy at -2.020 eV per atom. Its energy above the most stable polymorph in this dataset is 1169 meV per atom.

The space group is Pm-3m (No. 221) and the conventional cell measures 5.499, 5.499 and 5.499 Å, with angles of 90.00, 90.00 and 90.00 degrees. The inequivalent atoms are K at (0.000, 0.000, 0.000), Sn at (0.500, 0.500, 0.500) and Au at (0.000, 0.000, 0.500).